No. 1
# AcPm2Ga6

AcPm2Ga6 after structural relaxation (GGA-PBE, the Alexandria database).

Calculated values
crystal system	orthorhombic
mass density	7.0	Mg/m³
distance to the lowest polymorph of the same formula	173	meV/atom

Cell: 4.5195 7.4732 13.2108 Å, 90.00 90.00 90.00°
Space group Immm (No. 71)
Asymmetric unit:
Ac (0.0000, 0.0000, 0.0000) [2 per cell]
Pm (0.0000, 0.5000, 0.1291) [4 per cell]
Ga (0.0000, 0.1732, 0.5000) [4 per cell]
Ga (0.0000, 0.3006, 0.3176) [8 per cell]

No. 2
# AcPm4Ga4

AcPm4Ga4 after structural relaxation (GGA-PBE, the Alexandria database).

Calculated values
calculated total energy	-75.6	eV for the cell shown
crystal system	tetragonal
mass density	7.0	Mg/m³

Cell: 9.3835 9.3835 5.8908 Å, 90.00 90.00 90.00°
Space group P4_2/n (No. 86, origin choice 2)
Asymmetric unit:
Ac (0.2500, 0.2500, 0.2500) [2 per cell]
Pm (0.0979, 0.8443, 0.6140) [8 per cell]
Ga (0.0037, 0.1174, 0.8810) [8 per cell]